The following is a DFT calculation (PBE with a Hubbard U) of crystalline FeRh3O at its relaxed geometry.

Cell: 4.0967 4.0967 4.0967 Å, 90.00 90.00 90.00°
Each line ends with the local moment (μB).
Positions (direct):
Rh 0.5000 0.0000 0.0000  0.57
O 0.0000 0.0000 0.0000  0.04
Fe 0.5000 0.5000 0.5000  3.88
Rh 0.0000 0.5000 0.0000  0.57
Rh 0.0000 0.0000 0.5000  0.64

Summary:
Final energy: -6.26 eV per atom